Compound: TmS2
Source: the Open Quantum Materials Database
Functional: PBE
Structure: optimized geometry

Cell: 5.468 5.468 5.468 Å, 60.00 60.00 60.00°
Fractional positions:
S 0.625 0.625 0.125
S 0.625 0.125 0.625
S 0.125 0.625 0.625
S 0.625 0.625 0.625
Tm 0.000 0.000 0.000
Tm 0.250 0.250 0.250

Properties
* symmetry: No. 227
* total magnetization: 0.073 μB per atom
* total DFT energy (no corrections): -4.23 eV per atom

Compound: LuCoCuPb
Source: the Open Quantum Materials Database
Functional: PBE
Structure: optimized geometry

Cell: 4.670 4.670 4.670 Å, 60.00 60.00 60.00°
Fractional positions:
Co 0.750 0.750 0.750
Cu 0.500 0.500 0.500
Lu 0.250 0.250 0.250
Pb 0.000 0.000 0.000

Properties
* energy above the lowest structure with this stoichiometry: 163 meV per atom
* symmetry: No. 216
* total magnetization: 0.038 μB per atom